[1]
First-principles (PBE) data for AlCdSbI2 after structural relaxation, as listed in Alexandria.

Uncorrected formation energy = 147 meV per atom

POSCAR file:
```
AlCdSbI2
1.0
5.563 0.000 0.000
0.000 5.563 0.000
0.000 0.000 5.549
Sb Cd I Al
1 1 2 1
Cartesian
0.000 0.000 2.774
2.782 2.782 2.774
0.000 2.782 0.000
2.782 0.000 0.000
0.000 0.000 0.000
```


[2]
First-principles (PBE) data for Ti3CoS6 after structural relaxation, as listed in Alexandria.

Uncorrected formation energy = -1015 meV per atom

POSCAR file:
```
Ti3CoS6
1.0
6.997 0.178 0.182
0.026 6.999 0.182
0.026 0.027 7.002
S Co Ti
12 2 6
Cartesian
4.143 5.798 3.541
2.164 6.433 1.034
6.205 5.021 0.911
0.664 6.221 5.040
4.885 0.770 6.331
5.707 3.446 4.345
3.728 2.988 1.490
3.321 4.216 5.875
6.385 0.983 2.325
1.342 3.758 3.020
2.906 1.406 3.824
0.844 2.182 6.455
3.525 3.602 3.683
0.000 0.000 0.000
2.971 6.599 5.730
6.533 5.660 3.239
5.516 3.091 6.724
4.078 0.605 1.635
0.516 1.544 4.126
1.533 4.113 0.641
```


[3]
First-principles (PBE) data for NbVAs3 after structural relaxation, as listed in Alexandria.

E_form = 574 meV per atom

POSCAR file:
```
NbVAs3
1.0
4.708 0.000 0.000
0.000 4.708 0.000
0.000 0.000 4.708
As Nb V
3 1 1
Cartesian
0.000 0.000 2.354
0.000 2.354 0.000
2.354 0.000 0.000
2.354 2.354 2.354
0.000 0.000 0.000
```


no.,DFT total energy (eV per atom),DOS at the Fermi energy (states/eV/f.u.)
1,-2.2286,3.5
2,-6.5706,5.6
3,-6.0536,4.4